A relaxed structure of Sm2Tc3C2, computed with PBE-GGA.

## Properties
spin magnetization = 0.000 Bohr magnetons per cell

a = 3.144 Å, b = 5.305 Å, c = 7.604 Å
α = 117.50°, β = 90.00°, γ = 107.24°
Fractional coordinates of all 7 atoms:
Sm 0.155 0.309 0.781
Sm 0.845 0.691 0.219
C 0.873 0.745 0.754
C 0.127 0.255 0.246
Tc 0.366 0.733 0.563
Tc 0.634 0.267 0.437
Tc 0.500 0.000 0.000

---

A relaxed structure of Ir3Au5, computed with PBE-GGA.

## Properties
spin magnetization = 0.000 Bohr magnetons per cell

a = 7.926 Å, b = 7.926 Å, c = 5.124 Å
α = 90.00°, β = 90.00°, γ = 120.00°
Fractional coordinates of all 16 atoms:
Ir 0.416 0.000 0.750
Ir 0.416 0.416 0.250
Ir 0.584 0.000 0.250
Ir 0.000 0.584 0.250
Ir 0.000 0.416 0.750
Ir 0.584 0.584 0.750
Au 0.667 0.333 0.500
Au 0.667 0.333 0.000
Au 0.779 0.779 0.250
Au 0.221 0.221 0.750
Au 0.221 0.000 0.250
Au 0.333 0.667 0.500
Au 0.000 0.779 0.750
Au 0.333 0.667 0.000
Au 0.779 0.000 0.750
Au 0.000 0.221 0.250

---

A relaxed structure of La8Mg3Ni2, computed with PBE-GGA.

## Properties
spin magnetization = 0.000 Bohr magnetons per cell

a = 3.897 Å, b = 11.053 Å, c = 10.572 Å
α = 121.52°, β = 99.14°, γ = 90.00°
Fractional coordinates of all 13 atoms:
La 0.311 0.576 0.152
La 0.285 0.559 0.667
La 0.231 0.175 0.351
La 0.769 0.825 0.649
La 0.715 0.441 0.333
La 0.285 0.108 0.667
La 0.715 0.892 0.333
La 0.689 0.424 0.848
Mg 0.500 0.000 0.000
Mg 0.000 0.222 0.000
Mg 0.000 0.778 0.000
Ni 0.135 0.714 0.427
Ni 0.865 0.286 0.573

---

A relaxed structure of La4BiTeN, computed with PBE-GGA.

## Properties
raw formation energy = -25.54 kcal/mol of atoms
spin magnetization = 0.001 Bohr magnetons per cell

a = 6.723 Å, b = 6.791 Å, c = 9.740 Å
α = 90.00°, β = 110.19°, γ = 90.00°
Fractional coordinates of all 14 atoms:
La 0.000 0.500 0.500
La 0.500 0.500 0.500
La 0.419 0.750 0.838
La 0.929 0.250 0.859
La 0.000 0.000 0.500
La 0.581 0.250 0.162
La 0.071 0.750 0.141
La 0.500 0.000 0.500
Bi 0.609 0.750 0.218
Bi 0.391 0.250 0.782
N 0.706 0.250 0.411
N 0.294 0.750 0.589
Te 0.889 0.750 0.779
Te 0.111 0.250 0.221

---

A relaxed structure of Dy6Ho12Mg, computed with PBE-GGA.

## Properties
polymorph energy (0 for the lowest one) = 0.0040 eV/atom
spin magnetization = 0.003 Bohr magnetons per cell

a = 8.554 Å, b = 8.554 Å, c = 8.554 Å
α = 97.36°, β = 97.36°, γ = 97.36°
Fractional coordinates of all 19 atoms:
Ho 0.262 0.738 0.000
Ho 0.167 0.589 0.589
Ho 0.000 0.738 0.262
Ho 0.411 0.833 0.411
Ho 0.000 0.262 0.738
Ho 0.262 0.000 0.738
Ho 0.738 0.000 0.262
Ho 0.589 0.167 0.589
Ho 0.589 0.589 0.167
Ho 0.833 0.411 0.411
Ho 0.411 0.411 0.833
Ho 0.738 0.262 0.000
Mg 0.000 0.000 0.000
Dy 0.864 0.591 0.864
Dy 0.591 0.864 0.864
Dy 0.864 0.864 0.591
Dy 0.136 0.409 0.136
Dy 0.409 0.136 0.136
Dy 0.136 0.136 0.409

---

A relaxed structure of SiAsRh2, computed with PBE-GGA.

## Properties
raw formation energy = -5.65 kcal/mol of atoms
spin magnetization = 0.000 Bohr magnetons per cell

a = 5.183 Å, b = 5.183 Å, c = 5.183 Å
α = 139.49°, β = 139.49°, γ = 58.63°
Fractional coordinates of all 4 atoms:
Rh 0.000 0.000 0.000
Rh 0.250 0.750 0.500
As 0.750 0.250 0.500
Si 0.500 0.500 0.000

---

A relaxed structure of RbThTl2Te4, computed with PBE-GGA.

## Properties
raw formation energy = -17.23 kcal/mol of atoms
spin magnetization = 0.000 Bohr magnetons per cell

a = 4.567 Å, b = 8.197 Å, c = 8.816 Å
α = 72.04°, β = 90.00°, γ = 90.00°
Fractional coordinates of all 8 atoms:
Te 0.500 0.271 0.713
Te 0.500 0.729 0.287
Te 0.000 0.752 0.705
Te 0.000 0.248 0.295
Tl 0.500 0.000 0.500
Tl 0.000 0.000 0.000
Rb 0.500 0.500 0.000
Th 0.000 0.500 0.500

---

A relaxed structure of K2BaSrF6, computed with PBE-GGA.

## Properties
raw formation energy = -78.06 kcal/mol of atoms
spin magnetization = 0.545 Bohr magnetons per cell

a = 6.571 Å, b = 6.809 Å, c = 9.391 Å
α = 90.00°, β = 90.11°, γ = 90.00°
Fractional coordinates of all 20 atoms:
Sr 0.500 0.000 0.500
Sr 0.000 0.500 0.000
F 0.703 0.310 0.935
F 0.203 0.190 0.435
F 0.371 0.931 0.740
F 0.813 0.792 0.926
F 0.313 0.708 0.426
F 0.129 0.431 0.760
F 0.797 0.810 0.565
F 0.871 0.569 0.240
F 0.687 0.292 0.574
F 0.297 0.690 0.065
F 0.629 0.069 0.260
F 0.187 0.208 0.074
K 0.517 0.551 0.753
K 0.983 0.051 0.747
K 0.017 0.949 0.253
K 0.483 0.449 0.247
Ba 0.500 0.000 0.000
Ba 0.000 0.500 0.500

---

Across the entries above, uncorrected energy takes the values -8.325; -4.810; -4.366; -6.116; -4.287; -6.439; -3.958; -5.088 eV/atom, respectively.